Computed, not measured: a relaxed structure of FeCo2Pt at the PBE level of DFT.

Structure (POSCAR):
```
FeCo2Pt
1.0
2.648 0.000 0.000
0.000 3.579 0.000
0.000 0.000 5.280
Co Fe Pt
2 1 1
Cartesian
0.000 0.000 0.106
0.000 0.000 2.534
1.324 1.789 1.320
1.324 1.789 3.960
```

Summary:
**SG**: Pmmm
**Total DFT energy (no corrections)**: -7.234 eV per atom
**Energy of formation from the pure elements**: -0.055 eV per atom